Entry 1:
VASP calculation (PBE) on a geometry-optimized HfMo6W5 structure.

Geometry as POSCAR:
```
HfMo6W5
1.0
-2.259 3.192 6.775
2.259 -3.192 6.775
2.259 3.192 -6.775
Hf Mo W
1 6 5
direct
0.000 0.000 0.000
0.083 0.831 0.252
0.255 0.500 0.755
0.422 0.169 0.252
0.578 0.831 0.748
0.745 0.500 0.245
0.917 0.169 0.748
0.168 0.668 0.500
0.334 0.334 0.000
0.500 0.000 0.500
0.666 0.666 0.000
0.832 0.332 0.500
```

Calculated values
Volume in Å³ per atom: 16.28
Energy in eV per atom: -11.702



Entry 2:
VASP calculation (PBE) on a geometry-optimized SiPtCl structure.

Geometry as POSCAR:
```
SiPtCl
1.0
3.666 0.000 0.000
0.000 5.728 0.000
0.000 0.000 11.357
Si Pt Cl
4 4 4
direct
0.000 0.000 0.000
0.000 0.500 0.500
0.500 0.000 0.500
0.500 0.500 0.000
0.000 0.000 0.380
0.000 0.500 0.880
0.500 0.000 0.880
0.500 0.500 0.380
0.000 0.000 0.716
0.000 0.500 0.216
0.500 0.000 0.216
0.500 0.500 0.716
```

Calculated values
Offset from the most stable computed form in eV per atom: 0.819
Raw formation energy in eV/atom: -0.01
Volume in Å³ per atom: 19.87
Energy in eV per atom: -4.443



Entry 3:
VASP calculation (PBE) on a geometry-optimized Zn2AsSe structure.

Geometry as POSCAR:
```
Zn2AsSe
1.0
5.762 0.000 0.000
0.000 7.268 0.000
0.000 0.000 3.535
Zn As Se
4 2 2
direct
0.250 0.250 0.000
0.250 0.750 0.000
0.750 0.250 0.000
0.750 0.750 0.000
0.000 0.000 0.500
0.500 0.500 0.500
0.000 0.500 0.500
0.500 0.000 0.500
```

Calculated values
Raw formation energy in eV/atom: 0.18
Volume in Å³ per atom: 18.50
Energy in eV per atom: -2.492



Entry 4:
VASP calculation (PBE) on a geometry-optimized CeTaC2 structure.

Geometry as POSCAR:
```
CeTaC2
1.0
3.310 0.000 0.000
-1.655 2.866 0.000
0.000 0.000 17.343
Ce Ta C
3 3 6
direct
0.000 0.000 0.000
0.333 0.667 0.667
0.667 0.333 0.333
0.000 0.000 0.500
0.333 0.667 0.167
0.667 0.333 0.833
0.000 0.000 0.237
0.000 0.000 0.763
0.333 0.667 0.429
0.333 0.667 0.904
0.667 0.333 0.096
0.667 0.333 0.571
```

Calculated values
Offset from the most stable computed form in eV per atom: 0.007
Volume in Å³ per atom: 13.71
Energy in eV per atom: -9.479



Entry 5:
VASP calculation (PBE) on a geometry-optimized MgPaAl11 structure.

Geometry as POSCAR:
```
MgPaAl11
1.0
2.746 -6.408 0.000
2.746 6.408 0.000
-2.698 0.000 6.575
Mg Pa Al
1 1 11
direct
0.000 0.000 0.000
0.500 0.500 0.500
0.000 0.500 0.500
0.001 0.214 0.710
0.155 0.513 0.150
0.214 0.001 0.710
0.487 0.845 0.850
0.500 0.000 0.500
0.500 0.500 0.000
0.513 0.155 0.150
0.786 0.999 0.290
0.845 0.487 0.850
0.999 0.786 0.290
```

Calculated values
Volume in Å³ per atom: 17.80
Energy in eV per atom: -4.052



Entry 6:
VASP calculation (PBE) on a geometry-optimized ZnInTc2 structure.

Geometry as POSCAR:
```
ZnInTc2
1.0
9.242 0.000 0.000
0.000 3.036 0.000
-1.058 0.000 4.649
Zn In Tc
2 2 4
direct
0.000 0.000 0.000
0.500 0.500 0.000
0.000 0.500 0.500
0.500 0.000 0.500
0.245 0.500 0.214
0.255 0.000 0.786
0.745 0.000 0.214
0.755 0.500 0.786
```

Calculated values
Offset from the most stable computed form in eV per atom: 0.230
Volume in Å³ per atom: 16.31
Energy in eV per atom: -5.890



Entry 7:
VASP calculation (PBE) on a geometry-optimized Th4Hg5Pb structure.

Geometry as POSCAR:
```
Th4Hg5Pb
1.0
10.352 0.000 0.000
0.000 11.768 0.000
0.000 0.000 4.710
Th Hg Pb
8 10 2
direct
0.035 0.250 0.249
0.250 0.521 0.743
0.250 0.979 0.743
0.465 0.250 0.249
0.535 0.750 0.751
0.750 0.021 0.257
0.750 0.479 0.257
0.965 0.750 0.751
0.044 0.569 0.250
0.044 0.931 0.250
0.250 0.750 0.118
0.456 0.569 0.250
0.456 0.931 0.250
0.544 0.069 0.750
0.544 0.431 0.750
0.750 0.250 0.882
0.956 0.069 0.750
0.956 0.431 0.750
0.250 0.250 0.750
0.750 0.750 0.250
```

Calculated values
Volume in Å³ per atom: 28.69
Energy in eV per atom: -3.667



Entry 8:
VASP calculation (PBE) on a geometry-optimized Pm4Hg5Ru2 structure.

Geometry as POSCAR:
```
Pm4Hg5Ru2
1.0
7.734 0.000 0.000
0.000 3.789 0.000
-0.857 0.000 9.569
Pm Hg Ru
4 5 2
direct
0.180 0.000 0.344
0.219 0.000 0.938
0.781 0.000 0.062
0.820 0.000 0.656
0.168 0.500 0.645
0.450 0.500 0.168
0.500 0.500 0.500
0.550 0.500 0.832
0.832 0.500 0.355
0.073 0.500 0.140
0.927 0.500 0.860
```

Calculated values
Volume in Å³ per atom: 25.49
Energy in eV per atom: -3.904



Entry 9:
VASP calculation (PBE) on a geometry-optimized Rb2SN structure.

Geometry as POSCAR:
```
Rb2SN
1.0
11.873 0.000 0.000
0.000 11.873 0.000
0.000 0.000 3.755
Rb S N
8 4 4
direct
0.001 0.750 0.125
0.250 0.001 0.875
0.250 0.499 0.375
0.499 0.750 0.625
0.501 0.250 0.625
0.750 0.501 0.375
0.750 0.999 0.875
0.999 0.250 0.125
0.000 0.000 0.500
0.000 0.500 0.750
0.500 0.000 0.250
0.500 0.500 0.000
0.000 0.000 0.000
0.000 0.500 0.250
0.500 0.000 0.750
0.500 0.500 0.500
```

Calculated values
Offset from the most stable computed form in eV per atom: 0.000
Raw formation energy in eV/atom: 0.17
Volume in Å³ per atom: 33.08
Energy in eV per atom: -3.426



Entry 10:
VASP calculation (PBE) on a geometry-optimized K2HfTi2Te6 structure.

Geometry as POSCAR:
```
K2HfTi2Te6
1.0
3.480 -6.042 0.000
3.480 6.042 0.000
-2.284 0.000 8.575
K Hf Ti Te
2 1 2 6
direct
0.164 0.836 0.000
0.836 0.164 0.000
0.000 0.000 0.500
0.331 0.669 0.500
0.669 0.331 0.500
0.067 0.403 0.695
0.279 0.279 0.307
0.403 0.067 0.695
0.597 0.933 0.305
0.721 0.721 0.693
0.933 0.597 0.305
```

Calculated values
Raw formation energy in eV/atom: -0.86
Volume in Å³ per atom: 32.79
Energy in eV per atom: -5.114



Entry 11:
VASP calculation (PBE) on a geometry-optimized Ce3Ga3Pd structure.

Geometry as POSCAR:
```
Ce3Ga3Pd
1.0
3.599 0.000 0.000
0.000 4.508 0.000
0.000 0.000 19.707
Ce Ga Pd
6 6 2
direct
0.000 0.000 0.000
0.000 0.000 0.388
0.000 0.500 0.200
0.500 0.000 0.700
0.500 0.500 0.500
0.500 0.500 0.888
0.000 0.000 0.557
0.000 0.000 0.835
0.000 0.500 0.631
0.500 0.000 0.131
0.500 0.500 0.057
0.500 0.500 0.335
0.000 0.500 0.763
0.500 0.000 0.263
```

Calculated values
Volume in Å³ per atom: 22.84
Energy in eV per atom: -5.162



Entry 12:
VASP calculation (PBE) on a geometry-optimized Pa2Mn3Os structure.

Geometry as POSCAR:
```
Pa2Mn3Os
1.0
2.570 1.484 4.314
-2.570 1.484 4.314
0.000 -2.967 4.314
Pa Mn Os
2 3 1
direct
0.124 0.124 0.124
0.876 0.876 0.876
0.000 0.500 0.500
0.500 0.000 0.500
0.500 0.500 0.000
0.500 0.500 0.500
```

Calculated values
Volume in Å³ per atom: 16.44
Energy in eV per atom: -9.810



Entry 13:
VASP calculation (PBE) on a geometry-optimized Tl2TcGeO6 structure.

Geometry as POSCAR:
```
Tl2TcGeO6
1.0
-2.792 2.792 3.960
2.792 -2.792 3.960
2.792 2.792 -3.960
Tl Tc Ge O
2 1 1 6
direct
0.250 0.750 0.500
0.750 0.250 0.500
0.000 0.000 0.000
0.500 0.500 0.000
0.250 0.250 0.000
0.251 0.251 0.502
0.251 0.749 0.000
0.749 0.251 0.000
0.749 0.749 0.498
0.750 0.750 0.000
```

Calculated values
Raw formation energy in eV/atom: -0.99
Volume in Å³ per atom: 12.35
Energy in eV per atom: -5.936



Entry 14:
VASP calculation (PBE) on a geometry-optimized Ta8TcW2 structure.

Geometry as POSCAR:
```
Ta8TcW2
1.0
7.069 -2.688 0.000
7.069 2.688 0.000
-1.200 0.000 5.201
Ta Tc W
8 1 2
direct
0.000 0.000 0.243
0.000 0.000 0.757
0.084 0.588 0.416
0.394 0.394 0.948
0.412 0.916 0.584
0.588 0.084 0.416
0.606 0.606 0.052
0.916 0.412 0.584
0.500 0.500 0.500
0.192 0.192 0.070
0.808 0.808 0.930
```

Calculated values
Offset from the most stable computed form in eV per atom: 0.239
Volume in Å³ per atom: 17.97
Energy in eV per atom: -11.821



Entry 15:
VASP calculation (PBE) on a geometry-optimized ZrTl2Au2 structure.

Geometry as POSCAR:
```
ZrTl2Au2
1.0
7.318 0.000 0.000
0.000 7.318 0.000
0.000 0.000 4.419
Zr Tl Au
2 4 4
direct
0.000 0.000 0.000
0.500 0.500 0.000
0.179 0.321 0.500
0.321 0.821 0.500
0.679 0.179 0.500
0.821 0.679 0.500
0.133 0.633 0.000
0.367 0.133 0.000
0.633 0.867 0.000
0.867 0.367 0.000
```

Calculated values
Volume in Å³ per atom: 23.66
Energy in eV per atom: -3.947



Entry 16:
VASP calculation (PBE) on a geometry-optimized Y4ScTl structure.

Geometry as POSCAR:
```
Y4ScTl
1.0
0.000 4.508 4.508
4.508 0.000 4.508
4.508 4.508 0.000
Y Sc Tl
4 1 1
direct
0.124 0.124 0.124
0.124 0.124 0.628
0.124 0.628 0.124
0.628 0.124 0.124
0.750 0.750 0.750
0.500 0.500 0.500
```

Calculated values
Offset from the most stable computed form in eV per atom: 0.391
Volume in Å³ per atom: 30.55
Energy in eV per atom: -5.468



Entry 17:
VASP calculation (PBE) on a geometry-optimized NiSb2Au structure.

Geometry as POSCAR:
```
NiSb2Au
1.0
4.764 0.000 0.000
0.000 4.459 0.000
-2.225 0.000 4.285
Ni Sb Au
1 2 1
direct
0.000 0.000 0.000
0.165 0.500 0.839
0.615 0.000 0.390
0.827 0.500 0.186
```

Calculated values
Raw formation energy in eV/atom: -0.02
Volume in Å³ per atom: 22.76
Energy in eV per atom: -4.342



Entry 18:
VASP calculation (PBE) on a geometry-optimized Ca4PbAu5 structure.

Geometry as POSCAR:
```
Ca4PbAu5
1.0
3.632 0.000 0.000
0.000 3.632 0.000
0.000 0.000 18.251
Ca Pb Au
4 1 5
direct
0.000 0.000 0.100
0.000 0.000 0.302
0.000 0.000 0.698
0.000 0.000 0.900
0.000 0.000 0.500
0.500 0.500 0.000
0.500 0.500 0.201
0.500 0.500 0.394
0.500 0.500 0.606
0.500 0.500 0.799
```

Calculated values
Volume in Å³ per atom: 24.07
Energy in eV per atom: -3.481



Entry 19:
VASP calculation (PBE) on a geometry-optimized ReNiB structure.

Geometry as POSCAR:
```
ReNiB
1.0
3.169 0.000 0.000
0.000 13.040 0.000
0.000 0.000 3.026
Re Ni B
4 4 4
direct
0.000 0.091 0.250
0.000 0.909 0.750
0.500 0.409 0.750
0.500 0.591 0.250
0.000 0.293 0.250
0.000 0.707 0.750
0.500 0.207 0.750
0.500 0.793 0.250
0.000 0.460 0.250
0.000 0.540 0.750
0.500 0.040 0.750
0.500 0.960 0.250
```

Calculated values
Volume in Å³ per atom: 10.42
Energy in eV per atom: -8.410



Entry 20:
VASP calculation (PBE) on a geometry-optimized DyThRuSe structure.

Geometry as POSCAR:
```
DyThRuSe
1.0
4.030 0.000 0.000
-2.015 3.490 0.000
0.000 0.000 21.764
Dy Th Ru Se
3 3 3 3
direct
0.000 0.000 0.000
0.333 0.667 0.667
0.667 0.333 0.333
0.000 0.000 0.189
0.333 0.667 0.855
0.667 0.333 0.522
0.000 0.000 0.589
0.333 0.667 0.256
0.667 0.333 0.923
0.000 0.000 0.756
0.333 0.667 0.423
0.667 0.333 0.089
```

Calculated values
Raw formation energy in eV/atom: -0.98
Volume in Å³ per atom: 25.52
Energy in eV per atom: -7.172



Entry 21:
VASP calculation (PBE) on a geometry-optimized Tb2Tl2Ag3 structure.

Geometry as POSCAR:
```
Tb2Tl2Ag3
1.0
3.641 0.000 0.000
0.000 26.640 0.000
0.000 0.000 3.535
Tb Tl Ag
4 4 6
direct
0.000 0.123 0.000
0.000 0.877 0.000
0.500 0.377 0.000
0.500 0.623 0.000
0.000 0.297 0.500
0.000 0.703 0.500
0.500 0.203 0.500
0.500 0.797 0.500
0.000 0.000 0.000
0.000 0.445 0.500
0.000 0.555 0.500
0.500 0.055 0.500
0.500 0.500 0.000
0.500 0.945 0.500
```

Calculated values
Volume in Å³ per atom: 24.49
Energy in eV per atom: -3.355



Entry 22:
VASP calculation (PBE) on a geometry-optimized Tl2HgH4 structure.

Geometry as POSCAR:
```
Tl2HgH4
1.0
-3.477 3.477 4.990
3.477 -3.477 4.990
3.477 3.477 -4.990
Tl Hg H
4 2 8
direct
0.000 0.000 0.000
0.000 0.000 0.500
0.000 0.500 0.000
0.500 0.000 0.500
0.375 0.625 0.750
0.625 0.375 0.250
0.264 0.303 0.539
0.264 0.726 0.961
0.274 0.736 0.539
0.303 0.264 0.039
0.697 0.736 0.961
0.726 0.264 0.461
0.736 0.274 0.039
0.736 0.697 0.461
```

Calculated values
Volume in Å³ per atom: 17.24
Energy in eV per atom: -2.255



Entry 23:
VASP calculation (PBE) on a geometry-optimized PrGa2CoRu structure.

Geometry as POSCAR:
```
PrGa2CoRu
1.0
4.316 0.000 0.000
0.000 4.316 0.000
0.000 0.000 9.750
Pr Ga Co Ru
2 4 2 2
direct
0.000 0.000 0.000
0.500 0.500 0.500
0.000 0.000 0.365
0.000 0.000 0.635
0.500 0.500 0.135
0.500 0.500 0.865
0.000 0.500 0.250
0.500 0.000 0.750
0.000 0.500 0.750
0.500 0.000 0.250
```

Calculated values
Volume in Å³ per atom: 18.16
Energy in eV per atom: -5.834



Entry 24:
VASP calculation (PBE) on a geometry-optimized Bi2O3 structure.

Geometry as POSCAR:
```
Bi2O3
1.0
4.381 0.000 0.000
0.000 3.722 0.000
-0.148 0.000 5.721
Bi O
2 3
direct
0.000 0.000 0.000
0.426 0.500 0.439
0.188 0.500 0.792
0.435 0.000 0.209
0.973 0.500 0.269
```

Calculated values
Raw formation energy in eV/atom: -1.13
Volume in Å³ per atom: 18.66
Energy in eV per atom: -5.662



Entry 25:
VASP calculation (PBE) on a geometry-optimized YSbIN2 structure.

Geometry as POSCAR:
```
YSbIN2
1.0
4.496 0.000 0.000
0.000 4.496 0.000
0.000 0.000 6.060
Y Sb I N
1 1 1 2
direct
0.000 0.000 0.000
0.500 0.500 0.500
0.000 0.000 0.500
0.000 0.500 0.000
0.500 0.000 0.000
```

Calculated values
Offset from the most stable computed form in eV per atom: 0.000
Raw formation energy in eV/atom: 0.86
Volume in Å³ per atom: 24.50
Energy in eV per atom: -4.898